Entry 1:
Dy5Ag4Sn | PBE-GGA | relaxed

Results
symmetry: P4/mmm (123)

abc: 3.5810 3.5810 19.1160
angles: 90.00 90.00 90.00
Sites, in units of the cell vectors:
Ag 0.0000 0.0000 0.5983
Dy 0.5000 0.5000 0.8908
Sn 0.0000 0.0000 0.0000
Dy 0.5000 0.5000 0.1092
Dy 0.5000 0.5000 0.3051
Dy 0.5000 0.5000 0.5000
Dy 0.5000 0.5000 0.6949
Ag 0.0000 0.0000 0.7905
Ag 0.0000 0.0000 0.4017
Ag 0.0000 0.0000 0.2095

Entry 2:
Ti5MnCo6 | PBE-GGA | relaxed

Results
symmetry: Cmmm (65)

abc: 4.1932 5.9262 6.6276
angles: 90.00 108.48 90.00
Sites, in units of the cell vectors:
Ti 0.3387 0.0000 0.6769
Ti 0.0000 0.5000 0.0000
Co 0.1684 0.7503 0.3372
Mn 0.0000 0.0000 0.0000
Co 0.1684 0.2497 0.3372
Co 0.5000 0.2547 0.0000
Co 0.8316 0.7503 0.6628
Ti 0.6613 0.0000 0.3231
Co 0.5000 0.7453 0.0000
Ti 0.6669 0.5000 0.3341
Co 0.8316 0.2497 0.6628
Ti 0.3331 0.5000 0.6659

| no. | formation enthalpy at 0 K (eV/atom) | spin magnetization (μB/atom) |
| --- | --- | --- |
| 1 | -0.38 | 0.00 |
| 2 | -0.35 | 0.68 |